Entry from the Alexandria database: an optimized crystal structure of YNpFe2O6 (PBE+U).

The structure belongs to space group P1 (No. 1); the cell edges are 5.524, 5.557 and 5.862 Å and the angles 90.18°, 117.16° and 119.64°. Symmetry generates all atoms from Y at (0.000, 0.000, 0.000), Np at (0.988, 0.492, 0.478), Fe at (0.573, 0.280, 0.857), Fe at (0.594, 0.809, 0.380), O at (0.099, 0.204, 0.681), O at (0.109, 0.416, 0.202), O at (0.485, 0.889, 0.672), O at (0.508, 0.103, 0.176), O at (0.788, 0.698, 0.207) and O at (0.803, 0.575, 0.697).

The total energy is -8.4789 eV per atom. Its volume is 13.3 Å³ per atom. As for the density of states at the Fermi level: 8.47 states/eV/f.u.